[1]
# CdReHg2

A relaxed structure of CdReHg2 (GGA-PBE, Alexandria).

* calculated formation energy: 994 meV/atom

a b c (Å): 4.1457 4.1457 19.9718
angles (deg): 90.00 90.00 90.00
With the nearest neighbours (Å) after each atom.
Space group I-42d (No. 122)
Unique sites:
Cd: 0.0000 0.0000 0.0000 x4  4 Hg 2.92, 4 Re 2.93
Re: 0.0000 0.0000 0.5000 x4  4 Hg 2.87, 4 Cd 2.93
Hg: 0.2341 0.2500 0.6250 x8  4 Hg 2.84-3.03, 2 Re 2.87, 2 Cd 2.92

***

[2]
# NaCdMoW2

A relaxed structure of NaCdMoW2 (GGA-PBE, Alexandria).

* calculated formation energy: 2866 meV/atom

a b c (Å): 4.9555 4.9555 4.9683
angles (deg): 90.00 90.00 90.00
With the nearest neighbours (Å) after each atom.
Space group P4/mmm (No. 123)
Unique sites:
Na: 0.0000 0.0000 0.0000 x1  4 Mo 3.50, 8 W 3.51
Cd: 0.5000 0.5000 0.5000 x1  4 W 2.48, 2 Mo 2.48
Mo: 0.5000 0.5000 0.0000 x1  2 Cd 2.48
W: 0.0000 0.5000 0.5000 x2  2 Cd 2.48

***

[3]
# ZrAgH3

A relaxed structure of ZrAgH3 (GGA-PBE, Alexandria).

* energy relative to the lowest polymorph listed for this composition: 0.00 eV per formula unit

a b c (Å): 3.8332 3.8332 3.8332
angles (deg): 90.00 90.00 90.00
With the nearest neighbours (Å) after each atom.
Space group Pm-3m (No. 221)
Unique sites:
Zr: 0.0000 0.0000 0.0000 x1  6 H 1.92
Ag: 0.5000 0.5000 0.5000 x1  12 H 2.71
H: 0.0000 0.0000 0.5000 x3  2 Zr 1.92

***

[4]
# Sr2MnN

A relaxed structure of Sr2MnN (GGA-PBE, Alexandria).

* raw formation energy: 0.319 eV per atom

a b c (Å): 7.5714 7.5714 8.1426
angles (deg): 90.00 90.00 90.00
With the nearest neighbours (Å) after each atom.
Space group I-42d (No. 122)
Unique sites:
Sr: 0.1550 0.2500 0.1250 x8  2 N 2.45
Mn: 0.0000 0.0000 0.5000 x4  8 Sr 3.38-3.78
N: 0.0000 0.0000 0.0000 x4  4 Sr 2.45

***

[5]
# TcMo2P

A relaxed structure of TcMo2P (GGA-PBE, Alexandria).

* calculated formation energy: 63 meV/atom

a b c (Å): 2.8776 2.8776 24.7506
angles (deg): 90.00 90.00 120.00
With the nearest neighbours (Å) after each atom.
Space group R3m (No. 160, hexagonal axes)
Unique sites:
Tc: 0.0000 0.0000 0.0000 x3  3 P 2.47
Mo: 0.0000 0.0000 0.5167 x3  3 P 2.51
Mo: 0.0000 0.0000 0.7564 x3  3 Tc 2.77, 9 Mo 2.85-2.88
P: 0.0000 0.0000 0.2595 x3  3 Tc 2.47, 3 Mo 2.51

***

[6]
# TaAgSe

A relaxed structure of TaAgSe (GGA-PBE, Alexandria).

* raw formation energy: 0.590 eV per atom
* energy relative to the lowest polymorph listed for this composition: 2.04 eV per formula unit

a b c (Å): 6.1979 6.1979 6.1979
angles (deg): 90.00 90.00 90.00
With the nearest neighbours (Å) after each atom.
Space group F-43m (No. 216)
Unique sites:
Ta: 0.0000 0.0000 0.0000 x4  4 Se 2.68
Ag: 0.0000 0.0000 0.5000 x4  4 Se 2.68
Se: 0.2500 0.2500 0.2500 x4  4 Ta 2.68, 4 Ag 2.68

***

Which formula does entry 5 have?
TcMo2P